## 1
Computed, not measured: a geometry-optimized ErTcC2 structure at the PBE level of DFT.

Computed properties:
* V: 13.31 Å³ per atom
* space group: Amm2

Cell: 3.5527 3.9296 3.9296 Å, 103.95 90.00 90.00°
Closest atoms and distances in Å follow each position.
Positions (direct):
Er  0.0000  0.9815  0.0185  8 C 2.56-2.83
Tc  0.5000  0.3848  0.6152  4 C 2.03-2.12
C  0.5000  0.8546  0.4409  1 C 1.43
C  0.5000  0.5591  0.1454  1 C 1.43


## 2
Computed, not measured: a geometry-optimized ErTcC2 structure at the PBE level of DFT.

Computed properties:
* V: 12.09 Å³ per atom
* space group: R-3m

Cell: 3.2095 3.2095 5.7281 Å, 73.73 73.73 60.00°
Closest atoms and distances in Å follow each position.
Positions (direct):
C  0.2615  0.2615  0.2156  3 Tc 2.19, 3 Er 2.41
C  0.7385  0.7385  0.7844  3 Tc 2.19, 3 Er 2.41
Tc  0.0000  0.0000  0.0000  6 C 2.19
Er  0.5000  0.5000  0.5000  6 C 2.41


If we sort the structures by their calculated energies, the order from most to least stable is 1, 2.